1.
8
Lattice="4.1976 0.0000 0.0000 0.0000 8.0552 -0.2309 0.0000 2.7680 7.1613" Properties=species:S:1:pos:R:3 comment="SmTl2TeSe4, optimized geometry, DFT PBE" sg="P2/m, No. 10" crystal_system=monoclinic dos_ef_per_ev_cell=2.79 dft_energy_ev_per_cell=-32.2 m_tot_mub_per_cell=0.000 e_form_raw_ev_per_atom=-0.71 pbc="T T T"
Te 2.0988 4.0276 -0.1155
Sm 0.0000 5.4115 3.4652
Se 2.0988 4.1308 5.0429
Se 0.0001 7.7684 5.3712
Se 2.0989 6.6924 1.8875
Se 4.1976 3.0548 1.5592
Tl 2.0988 1.3840 3.5806
Tl 0.0000 2.7680 7.1613

---

2.
5
Lattice="4.3444 0.0000 0.0000 0.0000 5.1443 0.0000 0.0000 0.0000 4.3444" Properties=species:S:1:pos:R:3 comment="BeP2OsRh, optimized geometry, DFT PBE" sg="P4/mmm, No. 123" crystal_system=tetragonal dos_ef_per_ev_cell=3.48 dft_energy_ev_per_cell=-25.6 m_tot_mub_per_cell=2.267 e_form_kj_per_mol_fu=722 pbc="T T T"
Os 0.0000 2.5722 0.0000
P 0.0000 0.0000 2.1722
P 2.1722 0.0000 0.0000
Be 2.1722 2.5722 2.1722
Rh 0.0000 0.0000 0.0000

---

3.
8
Lattice="-2.0045 1.2759 -3.5077 3.5682 -5.1516 -3.9129 -6.7821 -3.2392 2.6975" Properties=species:S:1:pos:R:3 comment="Na2YTiTe4, optimized geometry, DFT PBE" sg="P2/m, No. 10" crystal_system=monoclinic dos_ef_per_ev_cell=4.42 dft_energy_ev_per_cell=-37.7 m_tot_mub_per_cell=1.003 e_form_raw_ev_per_atom=-1.02 pbc="T T T"
Na -1.6070 -4.1954 -0.6077
Te 1.1071 -4.4171 -2.2394
Y 0.0000 0.0000 0.0000
Ti 0.7818 -1.9378 -3.7103
Te -3.5982 -5.6766 -2.5672
Te -1.6202 -1.4383 -2.1559
Na -4.3933 -0.9817 -0.4051
Te -4.3211 -3.9737 1.0239

---

4.
4
Lattice="4.3701 0.0000 0.0000 0.0000 4.6481 0.0000 0.0000 0.0000 4.4984" Properties=species:S:1:pos:R:3 comment="LiTmInSn, optimized geometry, DFT PBE" sg="Pmmm, No. 47" e_above_lowest_polymorph_mev_per_atom=0 crystal_system=orthorhombic dos_ef_per_ev_cell=1.36 dft_energy_ev_per_cell=-15.0 m_tot_mub_per_cell=0.000 e_form_kj_per_mol_fu=-182 pbc="T T T"
Tm 2.1851 0.0000 2.2492
Li 2.1851 2.3240 0.0000
In 0.0000 2.3240 2.2492
Sn 0.0000 0.0000 0.0000

---

5.
8
Lattice="-2.4285 -4.8711 -0.4363 4.0199 -1.7108 -3.2754 3.8492 -5.2401 2.9097" Properties=species:S:1:pos:R:3 comment="Ti2VBr, optimized geometry, DFT PBE" sg="I-42d, No. 122" e_above_lowest_polymorph_mev_per_atom=437 crystal_system=tetragonal dos_ef_per_ev_cell=10.16 dft_energy_ev_per_cell=-45.8 m_tot_mub_per_cell=0.000 e_form_raw_ev_per_atom=0.92 pbc="T T T"
Ti 3.7499 -6.5116 0.5735
Ti 0.1078 -4.2457 0.0742
V 0.7957 -3.2909 -1.8559
Br 0.0000 0.0000 0.0000
V 4.3324 -5.1209 -1.1108
Ti 4.0132 -9.5759 -0.8486
Br 1.1082 -6.7010 0.3088
Ti 3.0104 -3.3107 -1.4032

---

6.
4
Lattice="4.5692 0.0000 0.0000 2.2846 3.9570 0.0000 2.2846 1.3190 3.7307" Properties=species:S:1:pos:R:3 comment="ErAlGaNi, optimized geometry, DFT PBE" sg="F-43m, No. 216" crystal_system=cubic dos_ef_per_ev_cell=2.62 dft_energy_ev_per_cell=-18.8 m_tot_mub_per_cell=0.000 e_form_kj_per_mol_fu=-163 pbc="T T T"
Ni 2.2846 1.3190 0.9327
Ga 6.8538 3.9570 2.7981
Al 4.5692 2.6380 1.8654
Er 0.0000 0.0000 0.0000